# CdNi2AsO6 PBE+U optimized geometry
data_CdNi2AsO6
_chemical_formula_sum 'Cd1 Ni2 As1 O6'
_cell_length_a 5.072
_cell_length_b 5.118
_cell_length_c 5.567
_cell_angle_alpha 62.43
_cell_angle_beta 63.92
_cell_angle_gamma 61.41
_symmetry_space_group_name_H-M 'P 1'
_symmetry_Int_Tables_number 1
_symmetry_space_group_name_Hall 'P 1'
loop_
_atom_site_label
_atom_site_fract_x
_atom_site_fract_y
_atom_site_fract_z
Cd1 0.801 0.802 0.604
Ni1 0.013 0.005 0.977
O1 0.151 0.359 0.773
O2 0.238 0.951 0.221
O3 0.711 0.152 0.776
As1 0.327 0.328 0.029
O4 0.576 0.247 0.230
O5 0.368 0.708 0.761
Ni2 0.524 0.523 0.429
O6 0.953 0.589 0.215
# - space group = No. 1
# - total energy (eV per atom) = -5.08

=====

# CdNiAsO4 PBE+U optimized geometry
data_CdNiAsO4
_chemical_formula_sum 'Cd2 Ni2 As2 O8'
_cell_length_a 5.481
_cell_length_b 5.481
_cell_length_c 6.606
_cell_angle_alpha 90.00
_cell_angle_beta 90.00
_cell_angle_gamma 116.25
_symmetry_space_group_name_H-M 'P 1'
_symmetry_Int_Tables_number 1
_symmetry_space_group_name_Hall 'P 1'
loop_
_atom_site_label
_atom_site_fract_x
_atom_site_fract_y
_atom_site_fract_z
Cd1 0.168 0.832 0.750
O1 0.721 0.279 0.958
O2 0.279 0.721 0.042
Ni1 0.500 0.500 0.500
As1 0.157 0.843 0.250
O3 0.284 0.225 0.250
As2 0.843 0.157 0.750
O4 0.716 0.775 0.750
O5 0.225 0.284 0.750
O6 0.775 0.716 0.250
Ni2 0.500 0.500 0.000
O7 0.279 0.721 0.458
O8 0.721 0.279 0.542
Cd2 0.832 0.168 0.250
# - space group = No. 63
# - total energy (eV per atom) = -4.97

=====

no.,D(E_F) (states/eV/cell)
1,0.751
2,4.218